Below is a relaxed structure of GaFeAg3, with properties calculated at the PBE level.

The energy of formation is 916 meV/atom. Its crystal system is cubic. The offset from the most stable computed form comes out at 23 meV per atom.

The structure belongs to space group Pm-3m (No. 221); the cell edges are 4.794, 4.794 and 4.794 Å and the angles 90.00°, 90.00° and 90.00°. The asymmetric unit holds Ga at (0.000, 0.000, 0.000), Fe at (0.500, 0.500, 0.500) and Ag at (0.000, 0.000, 0.500).



Below is a relaxed structure of SiHgOs2, with properties calculated at the PBE level.

As for the uncorrected formation energy: 518 meV/atom. Its crystal system is orthorhombic. The offset from the most stable computed form comes out at 259 meV per atom.

The structure belongs to space group Pmm2 (No. 25); the cell edges are 2.782, 3.641 and 6.699 Å and the angles 90.00°, 90.00° and 90.00°. The asymmetric unit holds Si at (0.000, 0.000, 0.000), Hg at (0.500, 0.500, 0.330), Os at (0.000, 0.000, 0.622) and Os at (0.500, 0.500, 0.815).



Below is a relaxed structure of PmCuSiH, with properties calculated at the PBE level.

Its total energy is -5.00 eV/atom. Its crystal system is tetragonal.

The structure belongs to space group P4/nmm (No. 129, origin choice 2); the cell edges are 4.050, 4.050 and 7.322 Å and the angles 90.00°, 90.00° and 90.00°. The asymmetric unit holds Pm at (0.250, 0.250, 0.162), Cu at (0.250, 0.750, 0.500), Si at (0.250, 0.250, 0.678) and H at (0.250, 0.750, 0.000).



Below is a relaxed structure of In2PbBr, with properties calculated at the PBE level.

As for the uncorrected formation energy: -133 meV/atom. Its crystal system is orthorhombic. The offset from the most stable computed form comes out at 89 meV per atom.

The structure belongs to space group Cmmm (No. 65); the cell edges are 3.840, 6.067 and 10.213 Å and the angles 90.00°, 90.00° and 90.00°. The asymmetric unit holds In at (0.000, 0.000, 0.234), Pb at (0.000, 0.500, 0.500) and Br at (0.000, 0.500, 0.000).



Below is a relaxed structure of Rb4I, with properties calculated at the PBE level.

As for the uncorrected formation energy: -526 meV/atom. Its crystal system is cubic.

The structure belongs to space group Pm-3m (No. 221); the cell edges are 7.375, 7.375 and 7.375 Å and the angles 90.00°, 90.00° and 90.00°. The asymmetric unit holds Rb at (0.000, 0.000, 0.000), Rb at (0.000, 0.500, 0.500) and I at (0.500, 0.500, 0.500).



Below is a relaxed structure of Dy4Se2S5, with properties calculated at the PBE level.

As for the uncorrected formation energy: -1373 meV/atom. Its crystal system is monoclinic.

The structure belongs to space group C2/m (No. 12); the cell edges are 27.790, 4.430 and 5.704 Å and the angles 90.00°, 96.02° and 90.00°. The asymmetric unit holds Dy at (0.033, 0.000, 0.240), Dy at (0.221, 0.500, 0.736), Se at (0.064, 0.000, 0.691), S at (0.000, 0.500, 0.000), S at (0.195, 0.000, 0.464) and S at (0.195, 0.000, 0.978).